[1]
# LiBPd2Rh | Alexandria | PBE | relaxed
# VASP energy = -5.5178 eV per atom
# E above lowest polymorph = 0.000 eV/atom
data_LiBPd2Rh
_chemical_formula_sum 'Li1 B1 Pd2 Rh1'
_space_group_name_H-M_alt 'P 4/m m m'
_space_group_IT_number 123
_space_group_name_Hall '-P 4 2'
_cell_length_a 4.1672
_cell_length_b 4.1672
_cell_length_c 4.0770
_cell_angle_alpha 90.00
_cell_angle_beta 90.00
_cell_angle_gamma 90.00
loop_
_atom_site_label
_atom_site_fract_x
_atom_site_fract_y
_atom_site_fract_z
Li1 0.0000 0.0000 0.0000
B1 0.5000 0.5000 0.5000
Pd1 0.0000 0.5000 0.5000
Rh1 0.5000 0.5000 0.0000


[2]
# LiBPd2Rh | Alexandria | PBE | relaxed
# VASP energy = -4.5106 eV per atom
# E above lowest polymorph = 1.007 eV/atom
data_LiBPd2Rh
_chemical_formula_sum 'Li1 B1 Pd2 Rh1'
_space_group_name_H-M_alt 'P 4/m m m'
_space_group_IT_number 123
_space_group_name_Hall '-P 4 2'
_cell_length_a 4.9875
_cell_length_b 4.9875
_cell_length_c 3.8844
_cell_angle_alpha 90.00
_cell_angle_beta 90.00
_cell_angle_gamma 90.00
loop_
_atom_site_label
_atom_site_fract_x
_atom_site_fract_y
_atom_site_fract_z
Li1 0.0000 0.0000 0.0000
B1 0.5000 0.5000 0.0000
Pd1 0.0000 0.5000 0.5000
Rh1 0.5000 0.5000 0.5000


[3]
# Li2BPdS | Alexandria | PBE | relaxed
# raw formation energy = 1.6 kJ per mole of atoms
# VASP energy = -3.9482 eV per atom
data_Li2BPdS
_chemical_formula_sum 'Li2 B1 Pd1 S1'
_space_group_name_H-M_alt 'P 4/m m m'
_space_group_IT_number 123
_space_group_name_Hall '-P 4 2'
_cell_length_a 4.3368
_cell_length_b 4.3368
_cell_length_c 3.9440
_cell_angle_alpha 90.00
_cell_angle_beta 90.00
_cell_angle_gamma 90.00
loop_
_atom_site_label
_atom_site_fract_x
_atom_site_fract_y
_atom_site_fract_z
Li1 0.0000 0.5000 0.0000
B1 0.0000 0.0000 0.0000
Pd1 0.0000 0.0000 0.5000
S1 0.5000 0.5000 0.5000


[4]
# Li2BSbPd6 | Alexandria | PBE | relaxed
# raw formation energy = -29.3 kJ per mole of atoms
# VASP energy = -4.8818 eV per atom
data_Li2BSbPd6
_chemical_formula_sum 'Li4 B2 Sb2 Pd12'
_space_group_name_H-M_alt 'C 1 2/m 1'
_space_group_IT_number 12
_space_group_name_Hall '-C 2y'
_cell_length_a 9.8985
_cell_length_b 5.7163
_cell_length_c 7.3419
_cell_angle_alpha 90.00
_cell_angle_beta 116.56
_cell_angle_gamma 90.00
loop_
_atom_site_label
_atom_site_fract_x
_atom_site_fract_y
_atom_site_fract_z
Li1 0.2313 0.0000 0.1960
B1 0.0000 0.5000 0.0000
Sb1 0.0000 0.0000 0.5000
Pd1 0.0286 0.2405 0.8244
Pd2 0.2312 0.5000 0.1774


[5]
# LiSm2BPd6 | Alexandria | PBE | relaxed
# VASP energy = -5.5391 eV per atom
data_LiSm2BPd6
_chemical_formula_sum 'Li3 Sm6 B3 Pd18'
_space_group_name_H-M_alt 'R -3 m'
_space_group_IT_number 166
_space_group_name_Hall '-R 3 2"'
_cell_length_a 5.7703
_cell_length_b 5.7703
_cell_length_c 18.4641
_cell_angle_alpha 90.00
_cell_angle_beta 90.00
_cell_angle_gamma 120.00
loop_
_atom_site_label
_atom_site_fract_x
_atom_site_fract_y
_atom_site_fract_z
Li1 0.0000 0.0000 0.0000
Sm1 0.0000 0.0000 0.2759
B1 0.0000 0.0000 0.5000
Pd1 0.0065 0.5032 0.7674


[6]
# LiSnBPd2 | Alexandria | PBE | relaxed
# VASP energy = -3.5987 eV per atom
data_LiSnBPd2
_chemical_formula_sum 'Li1 Sn1 B1 Pd2'
_space_group_name_H-M_alt 'P 4/m m m'
_space_group_IT_number 123
_space_group_name_Hall '-P 4 2'
_cell_length_a 4.2442
_cell_length_b 4.2442
_cell_length_c 4.6295
_cell_angle_alpha 90.00
_cell_angle_beta 90.00
_cell_angle_gamma 90.00
loop_
_atom_site_label
_atom_site_fract_x
_atom_site_fract_y
_atom_site_fract_z
Li1 0.0000 0.0000 0.0000
Sn1 0.0000 0.0000 0.5000
B1 0.5000 0.5000 0.5000
Pd1 0.0000 0.5000 0.0000


[7]
# Li2SnB2Pd5 | Alexandria | PBE | relaxed
# VASP energy = -5.1177 eV per atom
data_Li2SnB2Pd5
_chemical_formula_sum 'Li4 Sn2 B4 Pd10'
_space_group_name_H-M_alt 'P 4/m b m'
_space_group_IT_number 127
_space_group_name_Hall '-P 4 2ab'
_cell_length_a 9.6488
_cell_length_b 9.6488
_cell_length_c 3.0820
_cell_angle_alpha 90.00
_cell_angle_beta 90.00
_cell_angle_gamma 90.00
loop_
_atom_site_label
_atom_site_fract_x
_atom_site_fract_y
_atom_site_fract_z
Li1 0.1760 0.3240 0.0000
Sn1 0.0000 0.0000 0.0000
B1 0.1221 0.6221 0.0000
Pd1 0.0000 0.5000 0.5000
Pd2 0.0718 0.7745 0.5000


[8]
# Sr2LiBPd6 | Alexandria | PBE | relaxed
# VASP energy = -4.7411 eV per atom
data_Sr2LiBPd6
_chemical_formula_sum 'Sr4 Li2 B2 Pd12'
_space_group_name_H-M_alt 'I 4/m m m'
_space_group_IT_number 139
_space_group_name_Hall '-I 4 2'
_cell_length_a 6.3520
_cell_length_b 6.3520
_cell_length_c 9.0002
_cell_angle_alpha 90.00
_cell_angle_beta 90.00
_cell_angle_gamma 90.00
loop_
_atom_site_label
_atom_site_fract_x
_atom_site_fract_y
_atom_site_fract_z
Sr1 0.0000 0.5000 0.2500
Li1 0.0000 0.0000 0.0000
B1 0.0000 0.0000 0.5000
Pd1 0.0000 0.0000 0.2648
Pd2 0.2354 0.2354 0.5000


[9]
# LiTlBPd2 | Alexandria | PBE | relaxed
# VASP energy = -4.3838 eV per atom
data_LiTlBPd2
_chemical_formula_sum 'Li1 Tl1 B1 Pd2'
_space_group_name_H-M_alt 'P 4/m m m'
_space_group_IT_number 123
_space_group_name_Hall '-P 4 2'
_cell_length_a 4.2056
_cell_length_b 4.2056
_cell_length_c 4.3695
_cell_angle_alpha 90.00
_cell_angle_beta 90.00
_cell_angle_gamma 90.00
loop_
_atom_site_label
_atom_site_fract_x
_atom_site_fract_y
_atom_site_fract_z
Li1 0.0000 0.0000 0.0000
Tl1 0.5000 0.5000 0.0000
B1 0.0000 0.0000 0.5000
Pd1 0.0000 0.5000 0.5000


[10]
# Li2Tl2BPd4 | Alexandria | PBE | relaxed
# VASP energy = -4.2818 eV per atom
data_Li2Tl2BPd4
_chemical_formula_sum 'Li4 Tl4 B2 Pd8'
_space_group_name_H-M_alt 'I 4/m m m'
_space_group_IT_number 139
_space_group_name_Hall '-I 4 2'
_cell_length_a 5.8600
_cell_length_b 5.8600
_cell_length_c 8.3702
_cell_angle_alpha 90.00
_cell_angle_beta 90.00
_cell_angle_gamma 90.00
loop_
_atom_site_label
_atom_site_fract_x
_atom_site_fract_y
_atom_site_fract_z
Li1 0.0000 0.0000 0.2228
Tl1 0.0000 0.5000 0.2500
B1 0.0000 0.0000 0.5000
Pd1 0.2489 0.2489 0.5000


[11]
# LiY2BPd6 | Alexandria | PBE | relaxed
# VASP energy = -5.8956 eV per atom
data_LiY2BPd6
_chemical_formula_sum 'Li1 Y2 B1 Pd6'
_space_group_name_H-M_alt 'P -1'
_space_group_IT_number 2
_space_group_name_Hall '-P 1'
_cell_length_a 5.7233
_cell_length_b 5.7274
_cell_length_c 6.9314
_cell_angle_alpha 114.36
_cell_angle_beta 90.02
_cell_angle_gamma 119.91
loop_
_atom_site_label
_atom_site_fract_x
_atom_site_fract_y
_atom_site_fract_z
Li1 0.0000 0.0000 0.0000
Y1 0.2770 0.5550 0.8352
B1 0.5000 0.0000 0.5000
Pd1 0.2245 0.9597 0.6988
Pd2 0.2651 0.0389 0.2999
Pd3 0.2646 0.5278 0.2974


[12]
# LiPmB12 | Alexandria | PBE | relaxed
# VASP energy = -6.4909 eV per atom
data_LiPmB12
_chemical_formula_sum 'Li1 Pm1 B12'
_space_group_name_H-M_alt 'P 4/m m m'
_space_group_IT_number 123
_space_group_name_Hall '-P 4 2'
_cell_length_a 4.1349
_cell_length_b 4.1349
_cell_length_c 8.2660
_cell_angle_alpha 90.00
_cell_angle_beta 90.00
_cell_angle_gamma 90.00
loop_
_atom_site_label
_atom_site_fract_x
_atom_site_fract_y
_atom_site_fract_z
Li1 0.0000 0.0000 0.0000
Pm1 0.0000 0.0000 0.5000
B1 0.2007 0.5000 0.2507
B2 0.5000 0.5000 0.1005
B3 0.5000 0.5000 0.4002